# 1
# Tl2InAu, optimized geometry, DFT PBEsol
# - energy relative to the elements (kJ per mole of atoms) = 6.11
# - space group = I-4m2 (119)
# - M_tot (μB per atom) = 0.0000
# - VASP energy (Ry/atom) = -0.2189
# - E above lowest polymorph (meV/atom) = 103.1
data_Tl2InAu
_chemical_formula_sum 'Tl2 In1 Au1'
_space_group_name_H-M_alt 'P 1'
_space_group_IT_number 1
_space_group_name_Hall 'P 1'
_cell_length_a 5.455
_cell_length_b 5.455
_cell_length_c 5.455
_cell_angle_alpha 129.00
_cell_angle_beta 129.00
_cell_angle_gamma 75.02
loop_
_atom_site_label
_atom_site_type_symbol
_atom_site_fract_x
_atom_site_fract_y
_atom_site_fract_z
_atom_site_occupancy
Tl1 Tl 0.000 0.000 0.000 1
Tl2 Tl 0.750 0.250 0.500 1
In1 In 0.250 0.750 0.500 1
Au1 Au 0.500 0.500 0.000 1

---

# 2
# SbTe, optimized geometry, DFT PBEsol
# - E_form (uncorrected) (meV/atom) = 73
# - space group = Imma (74)
# - M_tot (μB per atom) = 0.0000
# - VASP energy (Ry/atom) = -0.2917
# - E above lowest polymorph (meV/atom) = 172.9
data_SbTe
_chemical_formula_sum 'Sb2 Te2'
_space_group_name_H-M_alt 'P 1'
_space_group_IT_number 1
_space_group_name_Hall 'P 1'
_cell_length_a 8.596
_cell_length_b 8.596
_cell_length_c 8.596
_cell_angle_alpha 153.30
_cell_angle_beta 153.26
_cell_angle_gamma 38.15
loop_
_atom_site_label
_atom_site_type_symbol
_atom_site_fract_x
_atom_site_fract_y
_atom_site_fract_z
_atom_site_occupancy
Sb1 Sb 0.329 0.079 0.250 1
Sb2 Sb 0.671 0.921 0.750 1
Te1 Te 0.102 0.352 0.750 1
Te2 Te 0.898 0.648 0.250 1

---

# 3
# MnBe4Re, optimized geometry, DFT PBEsol
# - energy relative to the elements (kJ per mole of atoms) = -28.25
# - space group = F-43m (216)
# - M_tot (μB per atom) = 0.0000
# - VASP energy (Ry/atom) = -0.5004
data_MnBe4Re
_chemical_formula_sum 'Mn1 Be4 Re1'
_space_group_name_H-M_alt 'P 1'
_space_group_IT_number 1
_space_group_name_Hall 'P 1'
_cell_length_a 4.229
_cell_length_b 4.229
_cell_length_c 4.229
_cell_angle_alpha 60.00
_cell_angle_beta 60.00
_cell_angle_gamma 60.00
loop_
_atom_site_label
_atom_site_type_symbol
_atom_site_fract_x
_atom_site_fract_y
_atom_site_fract_z
_atom_site_occupancy
Mn1 Mn 0.000 0.000 0.000 1
Be1 Be 0.376 0.376 0.376 1
Be2 Be 0.376 0.376 0.873 1
Be3 Be 0.376 0.873 0.376 1
Be4 Be 0.873 0.376 0.376 1
Re1 Re 0.750 0.750 0.750 1

---

# 4
# InPbCl, optimized geometry, DFT PBEsol
# - E_form (uncorrected) (meV/atom) = -294
# - space group = I4mm (107)
# - M_tot (μB per atom) = 0.0000
# - VASP energy (Ry/atom) = -0.2419
data_InPbCl
_chemical_formula_sum 'In1 Pb1 Cl1'
_space_group_name_H-M_alt 'P 1'
_space_group_IT_number 1
_space_group_name_Hall 'P 1'
_cell_length_a 7.074
_cell_length_b 7.074
_cell_length_c 7.074
_cell_angle_alpha 152.32
_cell_angle_beta 152.32
_cell_angle_gamma 39.54
loop_
_atom_site_label
_atom_site_type_symbol
_atom_site_fract_x
_atom_site_fract_y
_atom_site_fract_z
_atom_site_occupancy
In1 In 0.000 0.000 0.000 1
Pb1 Pb 0.677 0.677 0.000 1
Cl1 Cl 0.356 0.356 0.000 1

---

# 5
# Hg2RhAu, optimized geometry, DFT PBEsol
# - energy relative to the elements (kJ per mole of atoms) = 13.41
# - space group = I-4m2 (119)
# - M_tot (μB per atom) = 0.0000
# - VASP energy (Ry/atom) = -0.2323
data_Hg2RhAu
_chemical_formula_sum 'Hg2 Rh1 Au1'
_space_group_name_H-M_alt 'P 1'
_space_group_IT_number 1
_space_group_name_Hall 'P 1'
_cell_length_a 5.064
_cell_length_b 5.064
_cell_length_c 5.064
_cell_angle_alpha 132.21
_cell_angle_beta 132.21
_cell_angle_gamma 69.90
loop_
_atom_site_label
_atom_site_type_symbol
_atom_site_fract_x
_atom_site_fract_y
_atom_site_fract_z
_atom_site_occupancy
Hg1 Hg 0.000 0.000 0.000 1
Hg2 Hg 0.750 0.250 0.500 1
Rh1 Rh 0.500 0.500 0.000 1
Au1 Au 0.250 0.750 0.500 1

---

# 6
# VAg4O4, optimized geometry, DFT PBEsol
# - E_form (uncorrected) (meV/atom) = -913
# - space group = I-4 (82)
# - M_tot (μB per atom) = 0.0000
# - VASP energy (Ry/atom) = -0.4254
data_VAg4O4
_chemical_formula_sum 'V1 Ag4 O4'
_space_group_name_H-M_alt 'P 1'
_space_group_IT_number 1
_space_group_name_Hall 'P 1'
_cell_length_a 5.901
_cell_length_b 5.901
_cell_length_c 5.901
_cell_angle_alpha 97.41
_cell_angle_beta 97.41
_cell_angle_gamma 137.91
loop_
_atom_site_label
_atom_site_type_symbol
_atom_site_fract_x
_atom_site_fract_y
_atom_site_fract_z
_atom_site_occupancy
V1 V 0.000 0.000 0.000 1
Ag1 Ag 0.159 0.570 0.734 1
Ag2 Ag 0.430 0.164 0.589 1
Ag3 Ag 0.575 0.841 0.411 1
Ag4 Ag 0.836 0.425 0.266 1
O1 O 0.112 0.373 0.044 1
O2 O 0.329 0.068 0.956 1
O3 O 0.627 0.671 0.739 1
O4 O 0.932 0.888 0.261 1

---

# 7
# Pt3Au, optimized geometry, DFT PBEsol
# - energy relative to the elements (kJ per mole of atoms) = 3.08
# - space group = R-3m (166)
# - M_tot (μB per atom) = 0.0003
# - VASP energy (Ry/atom) = -0.4536
data_Pt3Au
_chemical_formula_sum 'Pt3 Au1'
_space_group_name_H-M_alt 'P 1'
_space_group_IT_number 1
_space_group_name_Hall 'P 1'
_cell_length_a 9.398
_cell_length_b 9.398
_cell_length_c 9.398
_cell_angle_alpha 16.98
_cell_angle_beta 16.98
_cell_angle_gamma 16.98
loop_
_atom_site_label
_atom_site_type_symbol
_atom_site_fract_x
_atom_site_fract_y
_atom_site_fract_z
_atom_site_occupancy
Pt1 Pt 0.000 0.000 0.000 1
Pt2 Pt 0.252 0.252 0.252 1
Pt3 Pt 0.748 0.748 0.748 1
Au1 Au 0.500 0.500 0.500 1

---

# 8
# Cs2BeTcAu, optimized geometry, DFT PBEsol
# - energy relative to the elements (kJ per mole of atoms) = 108.64
# - space group = P4/mmm (123)
# - M_tot (μB per atom) = 0.0828
# - VASP energy (Ry/atom) = -0.2270
data_Cs2BeTcAu
_chemical_formula_sum 'Cs2 Be1 Tc1 Au1'
_space_group_name_H-M_alt 'P 1'
_space_group_IT_number 1
_space_group_name_Hall 'P 1'
_cell_length_a 5.718
_cell_length_b 5.718
_cell_length_c 4.324
_cell_angle_alpha 90.00
_cell_angle_beta 90.00
_cell_angle_gamma 90.00
loop_
_atom_site_label
_atom_site_type_symbol
_atom_site_fract_x
_atom_site_fract_y
_atom_site_fract_z
_atom_site_occupancy
Cs1 Cs 0.000 0.500 0.000 1
Cs2 Cs 0.500 0.000 0.000 1
Be1 Be 0.000 0.000 0.500 1
Tc1 Tc 0.000 0.000 0.000 1
Au1 Au 0.500 0.500 0.500 1